! PBE-GGA Ba4NdPu3O12, relaxed; values from VASP
&SYSTEM
  ibrav = 0, nat = 20, ntyp = 4
/
ATOMIC_SPECIES
Ba 137.33 Ba.upf
Nd 144.24 Nd.upf
Pu 244.00 Pu.upf
O 16.00 O.upf
CELL_PARAMETERS angstrom
-4.437 4.437 4.437
4.437 -4.437 4.437
4.437 4.437 -4.437
ATOMIC_POSITIONS crystal
Ba 0.000 0.000 0.500
Ba 0.000 0.500 0.000
Ba 0.500 0.000 0.000
Ba 0.500 0.500 0.500
Nd 0.000 0.000 0.000
Pu 0.000 0.500 0.500
Pu 0.500 0.000 0.500
Pu 0.500 0.500 0.000
O 0.000 0.261 0.261
O 0.000 0.739 0.739
O 0.250 0.500 0.750
O 0.250 0.750 0.500
O 0.261 0.000 0.261
O 0.261 0.261 0.000
O 0.500 0.250 0.750
O 0.500 0.750 0.250
O 0.739 0.000 0.739
O 0.739 0.739 0.000
O 0.750 0.250 0.500
O 0.750 0.500 0.250
! V	349	Å³/cell
! final energy	-8.711	eV/atom
! space-group type	Im-3m, No. 229
! energy relative to the elements, uncorrected	-2.964	eV/atom

! PBE-GGA YMgAs2Br, relaxed; values from VASP
&SYSTEM
  ibrav = 0, nat = 5, ntyp = 4
/
ATOMIC_SPECIES
Y 88.91 Y.upf
Mg 24.30 Mg.upf
As 74.92 As.upf
Br 79.90 Br.upf
CELL_PARAMETERS angstrom
5.499 0.000 0.000
0.000 5.499 0.000
0.000 0.000 5.438
ATOMIC_POSITIONS crystal
Y 0.000 0.000 0.000
Mg 0.500 0.500 0.500
As 0.000 0.500 0.000
As 0.500 0.000 0.000
Br 0.000 0.000 0.500
! V	164	Å³/cell
! final energy	-3.949	eV/atom
! space-group type	P4/mmm, No. 123
! energy relative to the elements, uncorrected	-0.143	eV/atom

! PBE-GGA InFePb2, relaxed; values from VASP
&SYSTEM
  ibrav = 0, nat = 4, ntyp = 3
/
ATOMIC_SPECIES
In 114.82 In.upf
Fe 55.84 Fe.upf
Pb 207.20 Pb.upf
CELL_PARAMETERS angstrom
4.515 0.000 0.000
0.000 3.252 0.000
-2.235 0.000 6.850
ATOMIC_POSITIONS crystal
In 0.000 0.000 0.000
Fe 0.166 0.500 0.334
Pb 0.372 0.500 0.743
Pb 0.690 0.000 0.382
! V	101	Å³/cell
! formation energy from the elements	1.3	eV/f.u.
! final energy	-4.322	eV/atom
! space-group type	Pm, No. 6

! PBE-GGA PuH3Rh2, relaxed; values from VASP
&SYSTEM
  ibrav = 0, nat = 12, ntyp = 3
/
ATOMIC_SPECIES
Pu 244.00 Pu.upf
H 1.01 H.upf
Rh 102.91 Rh.upf
CELL_PARAMETERS angstrom
3.486 -3.823 0.000
3.486 3.823 0.000
0.000 0.000 5.462
ATOMIC_POSITIONS crystal
Pu 0.201 0.799 0.750
Pu 0.799 0.201 0.250
H 0.079 0.238 0.750
H 0.238 0.079 0.250
H 0.481 0.519 0.250
H 0.519 0.481 0.750
H 0.762 0.921 0.750
H 0.921 0.762 0.250
Rh 0.298 0.298 0.000
Rh 0.298 0.298 0.500
Rh 0.702 0.702 0.000
Rh 0.702 0.702 0.500
! V	146	Å³/cell
! final energy	-6.705	eV/atom
! space-group type	Cmcm, No. 63

! PBE-GGA ZrSc2Pb2, relaxed; values from VASP
&SYSTEM
  ibrav = 0, nat = 10, ntyp = 3
/
ATOMIC_SPECIES
Zr 91.22 Zr.upf
Sc 44.96 Sc.upf
Pb 207.20 Pb.upf
CELL_PARAMETERS angstrom
8.591 0.000 0.000
0.000 8.591 0.000
0.000 0.000 3.318
ATOMIC_POSITIONS crystal
Zr 0.000 0.000 0.000
Zr 0.500 0.500 0.000
Sc 0.124 0.376 0.000
Sc 0.376 0.876 0.000
Sc 0.624 0.124 0.000
Sc 0.876 0.624 0.000
Pb 0.176 0.676 0.500
Pb 0.324 0.176 0.500
Pb 0.676 0.824 0.500
Pb 0.824 0.324 0.500
! V	245	Å³/cell
! formation energy from the elements	-0.3	eV/f.u.
! final energy	-5.780	eV/atom
! space-group type	P4/mbm, No. 127

! PBE-GGA Y3GaSi, relaxed; values from VASP
&SYSTEM
  ibrav = 0, nat = 5, ntyp = 3
/
ATOMIC_SPECIES
Y 88.91 Y.upf
Ga 69.72 Ga.upf
Si 28.09 Si.upf
CELL_PARAMETERS angstrom
5.340 0.000 0.000
0.000 5.340 0.000
0.000 0.000 5.340
ATOMIC_POSITIONS crystal
Y 0.000 0.000 0.500
Y 0.000 0.500 0.000
Y 0.500 0.000 0.000
Ga 0.500 0.500 0.500
Si 0.000 0.000 0.000
! V	152	Å³/cell
! final energy	-5.756	eV/atom
! space-group type	Pm-3m, No. 221
! energy relative to the elements, uncorrected	-0.187	eV/atom

> The lowest final energy belongs to which entry?

Ba4NdPu3O12